(1)
Computed, not measured: CsK2TlH after structural relaxation at the PBE-GGA level of DFT.

Raw total energy = -1.773 eV per atom
Mass density = 3.48 Mg/m³

Unit cell a=5.6210 b=5.6210 c=6.2978 alpha=90.00 beta=90.00 gamma=90.00
Space group P4/mmm (No. 123)
Symmetry-distinct sites (fractional):
Cs  0.0000  0.0000  0.0000 x1
K  0.0000  0.5000  0.5000 x2
Tl  0.5000  0.5000  0.0000 x1
H  0.0000  0.0000  0.5000 x1

(2)
Computed, not measured: ScHgTe2 after structural relaxation at the PBE-GGA level of DFT.

Formation energy (no corrections) = -0.361 eV per atom
Mass density = 7.91 Mg/m³

Unit cell a=6.4111 b=8.2101 c=3.9964 alpha=90.00 beta=90.00 gamma=90.00
Space group Cmmm (No. 65)
Symmetry-distinct sites (fractional):
Sc  0.0000  0.0000  0.0000 x2
Hg  0.0000  0.5000  0.0000 x2
Te  0.2500  0.2500  0.5000 x4